Below is a PBEsol-optimized structure of AlRhCl2, with properties calculated at the SCAN level.

Cell: 4.110 4.110 4.770 Å, 115.52 115.52 90.00°
Each line ends with the local moment (μB).
Positions (direct):
Al 0.250 0.750 0.500  -0.01
Cl 0.000 0.000 0.000  0.04
Rh 0.500 0.500 0.000  0.28
Cl 0.750 0.250 0.500  0.00

Values from the calculation:
The value obtained for the energy relative to the elements, uncorrected is 0.18 eV per atom. The calculation puts the density at 5.2 g/cm3. The space group is No. 119. The value obtained for the excess energy over the best structure of this formula in the dataset is 0.638 eV per atom. For the total energy, the calculation gives -1.043 Ry per atom.